! AlTl2Cl GGA-PBE relaxed; values from VASP
! Final energy, eV per atom: -2.597
! Mass density, g/cm3: 7.20
! Crystal system: cubic
! Raw formation energy, eV/atom: -0.017
! Symmetry: No. 225
&SYSTEM
  ibrav = 0, nat = 4, ntyp = 3
/
ATOMIC_SPECIES
Tl 204.38 Tl.upf
Al 26.98 Al.upf
Cl 35.45 Cl.upf
ATOMIC_POSITIONS crystal
Tl 0.250 0.250 0.250
Tl 0.750 0.750 0.750
Al 0.000 0.000 0.000
Cl 0.500 0.500 0.500
CELL_PARAMETERS angstrom
1.060 -5.138 1.082
-0.686 -1.888 4.965
-4.006 -3.399 1.043